(1)
GdHgPb4: relaxed, PBE-GGA.

Output
The value obtained for the formation energy is -0.0297 eV per atom. The space group is F-43m.

a = 6.4305 Å, b = 6.4305 Å, c = 6.4305 Å
α = 60.00°, β = 60.00°, γ = 60.00°
Element x y z (fractional)
Pb (0.6255, 0.6255, 0.1234)
Pb (0.6255, 0.1234, 0.6255)
Pb (0.6255, 0.6255, 0.6255)
Pb (0.1234, 0.6255, 0.6255)
Gd (0.0000, 0.0000, 0.0000)
Hg (0.2500, 0.2500, 0.2500)

***

(2)
GdHgPb2: relaxed, PBE-GGA.

Output
The value obtained for the formation energy is 0.1035 eV per atom. The calculation puts the energy above the most stable polymorph in this dataset at 0.455 eV per atom. The space group is R-3m.

a = 3.5624 Å, b = 3.5624 Å, c = 11.4646 Å
α = 81.06°, β = 81.06°, γ = 60.00°
Element x y z (fractional)
Pb (0.0934, 0.0934, 0.7198)
Pb (0.9066, 0.9066, 0.2802)
Gd (0.0000, 0.0000, 0.0000)
Hg (0.5000, 0.5000, 0.5000)

***

(3)
GdHg2Pb: relaxed, PBE-GGA.

Output
The value obtained for the formation energy is -0.3012 eV per atom. The calculation puts the energy above the most stable polymorph in this dataset at 0.061 eV per atom. The space group is Fm-3m.

a = 5.3082 Å, b = 5.3082 Å, c = 5.3082 Å
α = 60.00°, β = 60.00°, γ = 60.00°
Element x y z (fractional)
Pb (0.5000, 0.5000, 0.5000)
Gd (0.0000, 0.0000, 0.0000)
Hg (0.2500, 0.2500, 0.2500)
Hg (0.7500, 0.7500, 0.7500)

***

(4)
GdHg2Pb: relaxed, PBE-GGA.

Output
The value obtained for the formation energy is -0.3079 eV per atom. The calculation puts the energy above the most stable polymorph in this dataset at 0.054 eV per atom. The space group is P4/mmm.

a = 3.7396 Å, b = 3.7396 Å, c = 7.6579 Å
α = 90.00°, β = 90.00°, γ = 90.00°
Element x y z (fractional)
Pb (0.5000, 0.5000, 0.5000)
Gd (0.5000, 0.5000, 0.0000)
Hg (0.0000, 0.0000, 0.7582)
Hg (0.0000, 0.0000, 0.2418)

***

(5)
GdHgPb2: relaxed, PBE-GGA.

Output
The value obtained for the formation energy is -0.3518 eV per atom. The calculation puts the energy above the most stable polymorph in this dataset at 0.000 eV per atom. The space group is P4/mmm.

a = 4.6031 Å, b = 4.8713 Å, c = 4.8713 Å
α = 90.00°, β = 90.00°, γ = 90.00°
Element x y z (fractional)
Pb (0.0000, 0.0000, 0.5000)
Pb (0.0000, 0.5000, 0.0000)
Gd (0.5000, 0.5000, 0.5000)
Hg (0.5000, 0.0000, 0.0000)

***

(6)
GdHgPb: relaxed, PBE-GGA.

Output
The value obtained for the formation energy is -0.2851 eV per atom. The calculation puts the energy above the most stable polymorph in this dataset at 0.085 eV per atom. The space group is F-43m.

a = 5.0409 Å, b = 5.0409 Å, c = 5.0409 Å
α = 60.00°, β = 60.00°, γ = 60.00°
Element x y z (fractional)
Pb (0.0000, 0.0000, 0.0000)
Gd (0.5000, 0.5000, 0.5000)
Hg (0.2500, 0.2500, 0.2500)

***

(7)
GdHgPb: relaxed, PBE-GGA.

Output
The value obtained for the formation energy is -0.3699 eV per atom. The calculation puts the energy above the most stable polymorph in this dataset at 0.000 eV per atom. The space group is P3m1.

a = 3.8397 Å, b = 4.9949 Å, c = 4.9949 Å
α = 120.00°, β = 90.00°, γ = 90.00°
Element x y z (fractional)
Pb (0.0444, 0.0000, 0.0000)
Gd (0.6332, 0.6667, 0.3333)
Hg (0.3224, 0.3333, 0.6667)

***

(8)
GdHgPb: relaxed, PBE-GGA.

Output
The value obtained for the formation energy is -0.3265 eV per atom. The calculation puts the energy above the most stable polymorph in this dataset at 0.043 eV per atom. The space group is I4mm.

a = 3.7108 Å, b = 3.7108 Å, c = 6.5742 Å
α = 106.39°, β = 106.39°, γ = 90.00°
Element x y z (fractional)
Pb (0.9410, 0.9410, 0.8821)
Gd (0.6290, 0.6290, 0.2579)
Hg (0.2800, 0.2800, 0.5600)

***

(9)
PrGdHgPb: relaxed, PBE-GGA.

Output
The value obtained for the formation energy is -0.4978 eV per atom. The space group is F-43m.

a = 5.4693 Å, b = 5.4693 Å, c = 5.4693 Å
α = 60.00°, β = 60.00°, γ = 60.00°
Element x y z (fractional)
Pb (0.2500, 0.2500, 0.2500)
Pr (0.5000, 0.5000, 0.5000)
Gd (0.0000, 0.0000, 0.0000)
Hg (0.7500, 0.7500, 0.7500)

***

(10)
GdPuHgPb: relaxed, PBE-GGA.

Output
The value obtained for the formation energy is -0.2724 eV per atom. The space group is F-43m.

a = 5.4342 Å, b = 5.4342 Å, c = 5.4342 Å
α = 60.00°, β = 60.00°, γ = 60.00°
Element x y z (fractional)
Pb (0.2500, 0.2500, 0.2500)
Gd (0.5000, 0.5000, 0.5000)
Hg (0.7500, 0.7500, 0.7500)
Pu (0.0000, 0.0000, 0.0000)

***

(11)
GdHgSbPb: relaxed, PBE-GGA.

Output
Its uncorrected formation energy is -0.350 eV/atom. The space group is F-43m.

a = 5.4139 Å, b = 5.4139 Å, c = 5.4139 Å
α = 60.00°, β = 60.00°, γ = 60.00°
Element x y z (fractional)
Pb (0.2500, 0.2500, 0.2500)
Sb (0.0000, 0.0000, 0.0000)
Gd (0.7500, 0.7500, 0.7500)
Hg (0.5000, 0.5000, 0.5000)

***

(12)
SmGdHgPb: relaxed, PBE-GGA.

Output
The value obtained for the formation energy is -0.4935 eV per atom. The space group is F-43m.

a = 5.4180 Å, b = 5.4180 Å, c = 5.4180 Å
α = 60.00°, β = 60.00°, γ = 60.00°
Element x y z (fractional)
Pb (0.2500, 0.2500, 0.2500)
Gd (0.5000, 0.5000, 0.5000)
Hg (0.7500, 0.7500, 0.7500)
Sm (0.0000, 0.0000, 0.0000)

***

no.,calculated density (Mg/m³)
1,10.480
2,10.345
3,12.021
4,11.871
5,11.740
6,10.359
7,11.310
8,11.304
9,10.133
10,11.839
11,10.164
12,10.563